# BP2N4

Crystalline BP2N4 at its relaxed geometry (PBE-GGA, Alexandria via LeMat-Bulk).

a b c (Å): 4.697 4.697 4.697
angles (deg): 104.47 104.47 120.01
Sites, in units of the cell vectors:
B  0.000  0.000  0.000
P  0.250  0.750  0.500
P  0.750  0.250  0.500
N  0.014  0.705  0.718
N  0.295  0.014  0.309
N  0.705  0.986  0.691
N  0.986  0.295  0.282

## Properties
energy	-7.004	eV per atom
ΔE_f (raw)	0.25	eV/atom
total magnetization	0.8	μB/cell
volume	11.1	Å³ per atom